1.
Material: Sc6Sn2Os
Method: DFT, PBE
State: optimized geometry

The structure in CIF format:
```
data_Sc6Sn2Os
_cell_length_a 7.6249
_cell_length_b 7.6249
_cell_length_c 4.0478
_cell_angle_alpha 90.00
_cell_angle_beta 90.00
_cell_angle_gamma 120.00
_symmetry_space_group_name_H-M 'P 1'
_symmetry_Int_Tables_number 1
loop_
_symmetry_equiv_pos_as_xyz
'x,y,z'
loop_
_atom_site_label
_atom_site_type_symbol
_atom_site_fract_x
_atom_site_fract_y
_atom_site_fract_z
_atom_site_occupancy
Sc1 Sc 0.0000 0.2383 0.0000 1
Sc2 Sc 0.0000 0.6062 0.5000 1
Sc3 Sc 0.2383 0.0000 0.0000 1
Sc4 Sc 0.3938 0.3938 0.5000 1
Sc5 Sc 0.6062 0.0000 0.5000 1
Sc6 Sc 0.7617 0.7617 0.0000 1
Sn1 Sn 0.3333 0.6667 0.0000 1
Sn2 Sn 0.6667 0.3333 0.0000 1
Os1 Os 0.0000 0.0000 0.5000 1
```


2.
Material: ScSnOs
Method: DFT, PBE
State: optimized geometry

The structure in CIF format:
```
data_ScSnOs
_cell_length_a 3.0799
_cell_length_b 3.0799
_cell_length_c 25.2426
_cell_angle_alpha 90.00
_cell_angle_beta 90.00
_cell_angle_gamma 90.00
_symmetry_space_group_name_H-M 'P 1'
_symmetry_Int_Tables_number 1
loop_
_symmetry_equiv_pos_as_xyz
'x,y,z'
loop_
_atom_site_label
_atom_site_type_symbol
_atom_site_fract_x
_atom_site_fract_y
_atom_site_fract_z
_atom_site_occupancy
Sc1 Sc 0.0000 0.0000 0.1450 1
Sc2 Sc 0.0000 0.0000 0.8550 1
Sc3 Sc 0.5000 0.5000 0.3550 1
Sc4 Sc 0.5000 0.5000 0.6450 1
Sn1 Sn 0.0000 0.0000 0.4431 1
Sn2 Sn 0.0000 0.0000 0.5569 1
Sn3 Sn 0.5000 0.5000 0.0569 1
Sn4 Sn 0.5000 0.5000 0.9431 1
Os1 Os 0.0000 0.0000 0.2799 1
Os2 Os 0.0000 0.0000 0.7201 1
Os3 Os 0.5000 0.5000 0.2201 1
Os4 Os 0.5000 0.5000 0.7799 1
```


3.
# Sc3SnOs, optimized geometry, DFT PBE
# distance to the lowest polymorph of the same formula	0	meV/atom
data_Sc3SnOs
_cell_length_a 5.0039
_cell_length_b 5.0039
_cell_length_c 5.0039
_cell_angle_alpha 90.00
_cell_angle_beta 90.00
_cell_angle_gamma 90.00
_symmetry_space_group_name_H-M 'P 1'
_symmetry_Int_Tables_number 1
loop_
_symmetry_equiv_pos_as_xyz
'x,y,z'
loop_
_atom_site_label
_atom_site_type_symbol
_atom_site_fract_x
_atom_site_fract_y
_atom_site_fract_z
_atom_site_occupancy
Sc1 Sc 0.0000 0.0000 0.5000 1
Sc2 Sc 0.0000 0.5000 0.0000 1
Sc3 Sc 0.5000 0.0000 0.0000 1
Sn1 Sn 0.5000 0.5000 0.5000 1
Os1 Os 0.0000 0.0000 0.0000 1


4.
Material: Sc5SnOs
Method: DFT, PBE
State: optimized geometry

The structure in CIF format:
```
data_Sc5SnOs
_cell_length_a 5.9046
_cell_length_b 5.9046
_cell_length_c 9.3544
_cell_angle_alpha 93.81
_cell_angle_beta 93.81
_cell_angle_gamma 92.59
_symmetry_space_group_name_H-M 'P 1'
_symmetry_Int_Tables_number 1
loop_
_symmetry_equiv_pos_as_xyz
'x,y,z'
loop_
_atom_site_label
_atom_site_type_symbol
_atom_site_fract_x
_atom_site_fract_y
_atom_site_fract_z
_atom_site_occupancy
Sc1 Sc 0.0593 0.6293 0.3472 1
Sc2 Sc 0.1325 0.8675 0.7500 1
Sc3 Sc 0.2188 0.3943 0.9854 1
Sc4 Sc 0.3707 0.9407 0.1528 1
Sc5 Sc 0.3943 0.2188 0.4854 1
Sc6 Sc 0.6057 0.7812 0.5145 1
Sc7 Sc 0.6293 0.0593 0.8472 1
Sc8 Sc 0.7812 0.6057 0.0146 1
Sc9 Sc 0.8675 0.1325 0.2500 1
Sc10 Sc 0.9407 0.3707 0.6528 1
Sn1 Sn 0.4801 0.5199 0.7500 1
Sn2 Sn 0.5199 0.4801 0.2500 1
Os1 Os 0.0000 0.0000 0.0000 1
Os2 Os 0.0000 0.0000 0.5000 1
```


5.
Material: ScSn4Os
Method: DFT, PBE
State: optimized geometry

The structure in CIF format:
```
data_ScSn4Os
_cell_length_a 7.5938
_cell_length_b 7.5938
_cell_length_c 7.5938
_cell_angle_alpha 127.29
_cell_angle_beta 127.29
_cell_angle_gamma 77.78
_symmetry_space_group_name_H-M 'P 1'
_symmetry_Int_Tables_number 1
loop_
_symmetry_equiv_pos_as_xyz
'x,y,z'
loop_
_atom_site_label
_atom_site_type_symbol
_atom_site_fract_x
_atom_site_fract_y
_atom_site_fract_z
_atom_site_occupancy
Sc1 Sc 0.0000 0.0000 0.0000 1
Sc2 Sc 0.5000 0.5000 0.0000 1
Sn1 Sn 0.0139 0.5139 0.8096 1
Sn2 Sn 0.2043 0.0139 0.5000 1
Sn3 Sn 0.2957 0.7957 0.8096 1
Sn4 Sn 0.4861 0.2957 0.5000 1
Sn5 Sn 0.5139 0.7043 0.5000 1
Sn6 Sn 0.7043 0.2043 0.1904 1
Sn7 Sn 0.7957 0.9861 0.5000 1
Sn8 Sn 0.9861 0.4861 0.1904 1
Os1 Os 0.2500 0.2500 0.0000 1
Os2 Os 0.7500 0.7500 0.0000 1
```


6.
# Sc3SnOs, optimized geometry, DFT PBE
# distance to the lowest polymorph of the same formula	1282	meV/atom
data_Sc3SnOs
_cell_length_a 5.1584
_cell_length_b 5.1584
_cell_length_c 5.1584
_cell_angle_alpha 90.00
_cell_angle_beta 90.00
_cell_angle_gamma 90.00
_symmetry_space_group_name_H-M 'P 1'
_symmetry_Int_Tables_number 1
loop_
_symmetry_equiv_pos_as_xyz
'x,y,z'
loop_
_atom_site_label
_atom_site_type_symbol
_atom_site_fract_x
_atom_site_fract_y
_atom_site_fract_z
_atom_site_occupancy
Sc1 Sc 0.0000 0.0000 0.5000 1
Sc2 Sc 0.0000 0.5000 0.0000 1
Sc3 Sc 0.5000 0.0000 0.0000 1
Sn1 Sn 0.0000 0.0000 0.0000 1
Os1 Os 0.5000 0.5000 0.5000 1


7.
Material: Sc12Sn6Os
Method: DFT, PBE
State: optimized geometry

The structure in CIF format:
```
data_Sc12Sn6Os
_cell_length_a 8.0974
_cell_length_b 8.0974
_cell_length_c 8.0974
_cell_angle_alpha 99.76
_cell_angle_beta 99.76
_cell_angle_gamma 99.76
_symmetry_space_group_name_H-M 'P 1'
_symmetry_Int_Tables_number 1
loop_
_symmetry_equiv_pos_as_xyz
'x,y,z'
loop_
_atom_site_label
_atom_site_type_symbol
_atom_site_fract_x
_atom_site_fract_y
_atom_site_fract_z
_atom_site_occupancy
Sc1 Sc 0.0121 0.9459 0.6849 1
Sc2 Sc 0.0541 0.3151 0.9879 1
Sc3 Sc 0.2024 0.5506 0.4199 1
Sc4 Sc 0.3151 0.9879 0.0541 1
Sc5 Sc 0.4199 0.2024 0.5506 1
Sc6 Sc 0.4494 0.5801 0.7976 1
Sc7 Sc 0.5506 0.4199 0.2024 1
Sc8 Sc 0.5801 0.7976 0.4494 1
Sc9 Sc 0.6849 0.0121 0.9459 1
Sc10 Sc 0.7976 0.4494 0.5801 1
Sc11 Sc 0.9459 0.6849 0.0121 1
Sc12 Sc 0.9879 0.0541 0.3151 1
Sn1 Sn 0.1195 0.3164 0.6439 1
Sn2 Sn 0.3164 0.6439 0.1195 1
Sn3 Sn 0.3561 0.8805 0.6836 1
Sn4 Sn 0.6439 0.1195 0.3164 1
Sn5 Sn 0.6836 0.3561 0.8805 1
Sn6 Sn 0.8805 0.6836 0.3561 1
Os1 Os 0.0000 0.0000 0.0000 1
```


8.
Material: Sc2SnOs2
Method: DFT, PBE
State: optimized geometry

The structure in CIF format:
```
data_Sc2SnOs2
_cell_length_a 6.8231
_cell_length_b 6.8231
_cell_length_c 4.1867
_cell_angle_alpha 90.00
_cell_angle_beta 90.00
_cell_angle_gamma 90.00
_symmetry_space_group_name_H-M 'P 1'
_symmetry_Int_Tables_number 1
loop_
_symmetry_equiv_pos_as_xyz
'x,y,z'
loop_
_atom_site_label
_atom_site_type_symbol
_atom_site_fract_x
_atom_site_fract_y
_atom_site_fract_z
_atom_site_occupancy
Sc1 Sc 0.1762 0.3238 0.0000 1
Sc2 Sc 0.3238 0.8238 0.0000 1
Sc3 Sc 0.6762 0.1762 0.0000 1
Sc4 Sc 0.8238 0.6762 0.0000 1
Sn1 Sn 0.0000 0.0000 0.5000 1
Sn2 Sn 0.5000 0.5000 0.5000 1
Os1 Os 0.1258 0.6258 0.5000 1
Os2 Os 0.3742 0.1258 0.5000 1
Os3 Os 0.6258 0.8742 0.5000 1
Os4 Os 0.8742 0.3742 0.5000 1
```


9.
Material: Sc8Sn2Os
Method: DFT, PBE
State: optimized geometry

The structure in CIF format:
```
data_Sc8Sn2Os
_cell_length_a 8.4760
_cell_length_b 8.4760
_cell_length_c 8.4760
_cell_angle_alpha 145.58
_cell_angle_beta 133.93
_cell_angle_gamma 58.75
_symmetry_space_group_name_H-M 'P 1'
_symmetry_Int_Tables_number 1
loop_
_symmetry_equiv_pos_as_xyz
'x,y,z'
loop_
_atom_site_label
_atom_site_type_symbol
_atom_site_fract_x
_atom_site_fract_y
_atom_site_fract_z
_atom_site_occupancy
Sc1 Sc 0.1361 0.3720 0.7641 1
Sc2 Sc 0.1832 0.1832 0.0000 1
Sc3 Sc 0.2415 0.0000 0.2415 1
Sc4 Sc 0.3921 0.6280 0.7641 1
Sc5 Sc 0.6079 0.3720 0.2359 1
Sc6 Sc 0.7585 0.0000 0.7585 1
Sc7 Sc 0.8168 0.8168 0.0000 1
Sc8 Sc 0.8639 0.6280 0.2359 1
Sn1 Sn 0.3135 0.8135 0.5000 1
Sn2 Sn 0.6865 0.1865 0.5000 1
Os1 Os 0.0000 0.5000 0.5000 1
```


10.
Material: Sc2Sn2Os
Method: DFT, PBE
State: optimized geometry

The structure in CIF format:
```
data_Sc2Sn2Os
_cell_length_a 6.9999
_cell_length_b 6.9999
_cell_length_c 4.2723
_cell_angle_alpha 90.00
_cell_angle_beta 90.00
_cell_angle_gamma 90.00
_symmetry_space_group_name_H-M 'P 1'
_symmetry_Int_Tables_number 1
loop_
_symmetry_equiv_pos_as_xyz
'x,y,z'
loop_
_atom_site_label
_atom_site_type_symbol
_atom_site_fract_x
_atom_site_fract_y
_atom_site_fract_z
_atom_site_occupancy
Sc1 Sc 0.1689 0.3311 0.0000 1
Sc2 Sc 0.3311 0.8311 0.0000 1
Sc3 Sc 0.6689 0.1689 0.0000 1
Sc4 Sc 0.8311 0.6689 0.0000 1
Sn1 Sn 0.1421 0.6421 0.5000 1
Sn2 Sn 0.3579 0.1421 0.5000 1
Sn3 Sn 0.6421 0.8579 0.5000 1
Sn4 Sn 0.8579 0.3579 0.5000 1
Os1 Os 0.0000 0.0000 0.5000 1
Os2 Os 0.5000 0.5000 0.5000 1
```


11.
Material: Sc2TiSnOs
Method: DFT, PBE
State: optimized geometry

The structure in CIF format:
```
data_Sc2TiSnOs
_cell_length_a 4.9992
_cell_length_b 4.9992
_cell_length_c 4.5277
_cell_angle_alpha 90.00
_cell_angle_beta 90.00
_cell_angle_gamma 90.00
_symmetry_space_group_name_H-M 'P 1'
_symmetry_Int_Tables_number 1
loop_
_symmetry_equiv_pos_as_xyz
'x,y,z'
loop_
_atom_site_label
_atom_site_type_symbol
_atom_site_fract_x
_atom_site_fract_y
_atom_site_fract_z
_atom_site_occupancy
Sc1 Sc 0.0000 0.5000 0.0000 1
Sc2 Sc 0.5000 0.0000 0.0000 1
Ti1 Ti 0.0000 0.0000 0.0000 1
Sn1 Sn 0.5000 0.5000 0.5000 1
Os1 Os 0.0000 0.0000 0.5000 1
```


12.
Material: TmScSnOs
Method: DFT, PBE
State: optimized geometry

The structure in CIF format:
```
data_TmScSnOs
_cell_length_a 6.8976
_cell_length_b 6.8976
_cell_length_c 6.8976
_cell_angle_alpha 90.00
_cell_angle_beta 90.00
_cell_angle_gamma 90.00
_symmetry_space_group_name_H-M 'P 1'
_symmetry_Int_Tables_number 1
loop_
_symmetry_equiv_pos_as_xyz
'x,y,z'
loop_
_atom_site_label
_atom_site_type_symbol
_atom_site_fract_x
_atom_site_fract_y
_atom_site_fract_z
_atom_site_occupancy
Tm1 Tm 0.0000 0.0000 0.0000 1
Tm2 Tm 0.0000 0.5000 0.5000 1
Tm3 Tm 0.5000 0.0000 0.5000 1
Tm4 Tm 0.5000 0.5000 0.0000 1
Sc1 Sc 0.0000 0.0000 0.5000 1
Sc2 Sc 0.0000 0.5000 0.0000 1
Sc3 Sc 0.5000 0.0000 0.0000 1
Sc4 Sc 0.5000 0.5000 0.5000 1
Sn1 Sn 0.2500 0.2500 0.2500 1
Sn2 Sn 0.2500 0.7500 0.7500 1
Sn3 Sn 0.7500 0.2500 0.7500 1
Sn4 Sn 0.7500 0.7500 0.2500 1
Os1 Os 0.2500 0.2500 0.7500 1
Os2 Os 0.2500 0.7500 0.2500 1
Os3 Os 0.7500 0.2500 0.2500 1
Os4 Os 0.7500 0.7500 0.7500 1
```


13.
Material: ScZnSnOs
Method: DFT, PBE
State: optimized geometry

The structure in CIF format:
```
data_ScZnSnOs
_cell_length_a 6.4870
_cell_length_b 6.4870
_cell_length_c 6.4870
_cell_angle_alpha 90.00
_cell_angle_beta 90.00
_cell_angle_gamma 90.00
_symmetry_space_group_name_H-M 'P 1'
_symmetry_Int_Tables_number 1
loop_
_symmetry_equiv_pos_as_xyz
'x,y,z'
loop_
_atom_site_label
_atom_site_type_symbol
_atom_site_fract_x
_atom_site_fract_y
_atom_site_fract_z
_atom_site_occupancy
Sc1 Sc 0.0000 0.0000 0.0000 1
Sc2 Sc 0.0000 0.5000 0.5000 1
Sc3 Sc 0.5000 0.0000 0.5000 1
Sc4 Sc 0.5000 0.5000 0.0000 1
Zn1 Zn 0.2500 0.2500 0.2500 1
Zn2 Zn 0.2500 0.7500 0.7500 1
Zn3 Zn 0.7500 0.2500 0.7500 1
Zn4 Zn 0.7500 0.7500 0.2500 1
Sn1 Sn 0.2500 0.2500 0.7500 1
Sn2 Sn 0.2500 0.7500 0.2500 1
Sn3 Sn 0.7500 0.2500 0.2500 1
Sn4 Sn 0.7500 0.7500 0.7500 1
Os1 Os 0.0000 0.0000 0.5000 1
Os2 Os 0.0000 0.5000 0.0000 1
Os3 Os 0.5000 0.0000 0.0000 1
Os4 Os 0.5000 0.5000 0.5000 1
```


In eV/cell, the final energy values for the records above are, in order, -62.08; -88.70; -35.00; -97.74; -69.73; -28.59; -117.11; -80.54; -74.51; -66.93; -32.80; -109.76; -94.06.